Material: Ce8TcPb3
Method: DFT, PBE-GGA
State: relaxed

a b c (Å): 9.2589 8.0854 6.6518
angles (deg): 67.86 86.55 123.19
Last column: nearest neighbours and their distance in Å.
Atoms (fractional coordinates):
Pb (0.4716, 0.0001, 0.4296)  9 Ce 3.29-3.46
Pb (0.7385, 0.5542, 0.7527)  9 Ce 3.20-3.55
Pb (0.1845, 0.4461, 0.3066)  9 Ce 3.20-3.55
Ce (0.7738, 0.0004, 0.6820)  1 Tc 2.69
Ce (0.8446, 0.5179, 0.2563)  1 Ce 2.87, 1 Tc 3.13
Ce (0.5896, 0.6899, 0.3350)  1 Tc 2.83, 1 Ce 2.87
Ce (0.3266, 0.4820, 0.7741)  1 Ce 2.87, 1 Tc 3.13
Ce (0.8996, 0.3098, 0.0252)  1 Tc 2.83, 1 Ce 2.87
Ce (0.1615, 0.9999, 0.7216)  1 Tc 2.62, 1 Ce 2.92
Ce (0.4411, 0.0002, 0.9332)  1 Ce 3.02, 4 Pb 3.33-3.34
Ce (0.1241, 0.9999, 0.2893)  1 Tc 2.65, 1 Ce 2.92
Tc (0.9446, 0.9998, 0.9946)  5 Ce 2.62-2.83

Computed properties:
- total magnetization (μB per formula unit) = 8.2
- space-group type = Cm, No. 8
- VASP energy (eV/atom) = -5.83
- formation energy from the elements (eV per atom) = -0.08

***

Material: SrCaAg2
Method: DFT, PBE-GGA
State: relaxed

a b c (Å): 6.9614 6.9614 6.9614
angles (deg): 60.63 150.52 128.31
Last column: nearest neighbours and their distance in Å.
Atoms (fractional coordinates):
Ag (0.0000, 0.7576, 0.7576)  1 Ca 2.91, 1 Sr 3.10
Ag (0.0000, 0.2424, 0.2424)  1 Ca 2.91, 1 Sr 3.10
Ca (0.0000, 0.0000, 0.0000)  2 Ag 2.91
Sr (0.0000, 0.5000, 0.5000)  2 Ag 3.10

Computed properties:
- total magnetization (μB per formula unit) = 0.0
- space-group type = Immm, No. 71
- VASP energy (eV/atom) = -1.85
- formation energy from the elements (eV per atom) = 0.49

***

Material: LiMoP
Method: DFT, PBE-GGA
State: relaxed

a b c (Å): 4.6876 4.6876 4.6876
angles (deg): 141.36 141.36 55.79
Last column: nearest neighbours and their distance in Å.
Atoms (fractional coordinates):
Li (0.0104, 0.0104, 0.0000)  5 P 2.56-2.83, 5 Mo 2.57-2.70
P (0.6693, 0.6693, 0.0000)  4 Mo 2.52, 5 Li 2.56-2.83
Mo (0.3202, 0.3202, 0.0000)  4 P 2.52, 5 Li 2.57-2.70

Computed properties:
- total magnetization (μB per formula unit) = 0.0
- space-group type = I4mm, No. 107
- VASP energy (eV/atom) = -6.19
- formation energy from the elements (eV per atom) = -0.14
- polymorph energy (0 for the lowest one) (eV per formula unit) = 1.11

***

Material: InAg2Cl
Method: DFT, PBE-GGA
State: relaxed

a b c (Å): 6.0192 4.8280 3.4903
angles (deg): 90.40 73.17 114.00
Last column: nearest neighbours and their distance in Å.
Atoms (fractional coordinates):
Ag (0.0000, 0.5000, 0.5000)  4 Ag 2.97-2.99, 2 In 3.00, 2 Cl 3.01
Ag (0.0000, 0.0000, 0.0000)  4 Ag 2.97-2.99, 2 Cl 3.00, 2 In 3.01
Cl (0.5000, 0.5000, 0.0000)  4 In 2.97-2.99, 4 Ag 3.00-3.01
In (0.5000, 0.0000, 0.5000)  4 Cl 2.97-2.99, 4 Ag 3.00-3.01

Computed properties:
- total magnetization (μB per formula unit) = 0.0
- space-group type = P-1, No. 2
- VASP energy (eV/atom) = -2.66
- formation energy from raw total energies (eV/atom) = -0.088

***

Material: HfReI2O
Method: DFT, PBE-GGA
State: relaxed

a b c (Å): 5.5871 5.5871 3.7245
angles (deg): 90.00 90.00 90.00
Last column: nearest neighbours and their distance in Å.
Atoms (fractional coordinates):
I (0.0000, 0.5000, 0.0000)  2 Re 2.79
I (0.5000, 0.0000, 0.0000)  2 Re 2.79
Hf (0.5000, 0.5000, 0.5000)  8 I 3.36, 2 Hf 3.72
Re (0.0000, 0.0000, 0.0000)  2 O 1.86
O (0.0000, 0.0000, 0.5000)  2 Re 1.86

Computed properties:
- total magnetization (μB per formula unit) = 1.4
- space-group type = P4/mmm, No. 123
- VASP energy (eV/atom) = -5.79
- formation energy from raw total energies (eV/atom) = 0.305
- polymorph energy (0 for the lowest one) (eV per formula unit) = 0.83

***

Material: SrIn2TcSe
Method: DFT, PBE-GGA
State: relaxed

a b c (Å): 5.5074 5.6003 5.5074
angles (deg): 90.00 90.00 90.00
Last column: nearest neighbours and their distance in Å.
Atoms (fractional coordinates):
In (0.5000, 0.0000, 0.0000)  2 Se 2.75
In (0.0000, 0.0000, 0.5000)  2 Se 2.75
Sr (0.0000, 0.5000, 0.0000)  2 Se 2.80
Tc (0.5000, 0.5000, 0.5000)  4 Sr 3.89, 8 In 3.93
Se (0.0000, 0.0000, 0.0000)  4 In 2.75, 2 Sr 2.80

Computed properties:
- total magnetization (μB per formula unit) = 3.4
- space-group type = P4/mmm, No. 123
- VASP energy (eV/atom) = -3.49
- formation energy from raw total energies (eV/atom) = 0.709

***

Material: ReSn2Pt
Method: DFT, PBE-GGA
State: relaxed

a b c (Å): 7.3832 7.3832 6.0288
angles (deg): 52.24 52.24 90.00
Last column: nearest neighbours and their distance in Å.
Atoms (fractional coordinates):
Sn (0.1178, 0.6250, 0.2500)  2 Pt 2.68, 2 Re 2.75
Sn (0.3750, 0.3678, 0.7500)  2 Pt 2.68, 2 Re 2.75
Sn (0.8750, 0.8822, 0.7500)  2 Pt 2.68, 2 Re 2.75
Sn (0.6322, 0.1250, 0.2500)  2 Pt 2.68, 2 Re 2.75
Re (0.5000, 0.5000, 0.0000)  4 Sn 2.75, 2 Pt 3.02
Re (0.2500, 0.7500, 0.5000)  4 Sn 2.75, 2 Pt 3.02
Pt (0.7500, 0.2500, 0.5000)  4 Sn 2.68
Pt (0.0000, 0.0000, 0.0000)  4 Sn 2.68

Computed properties:
- total magnetization (μB per formula unit) = 1.1
- space-group type = I-42d, No. 122
- VASP energy (eV/atom) = -6.00
- formation energy from the elements (eV per atom) = 0.62
- polymorph energy (0 for the lowest one) (eV per formula unit) = 1.22

***

Material: TaGeO
Method: DFT, PBE-GGA
State: relaxed

a b c (Å): 7.2606 3.1812 9.4948
angles (deg): 90.00 123.66 90.00
Last column: nearest neighbours and their distance in Å.
Atoms (fractional coordinates):
O (0.5627, 0.0000, 0.6825)  3 Ta 2.03-2.18
O (0.4373, 0.0000, 0.3175)  3 Ta 2.03-2.18
O (0.4373, 0.5000, 0.8175)  3 Ta 2.03-2.18
O (0.5627, 0.5000, 0.1825)  3 Ta 2.03-2.18
Ta (0.7431, 0.5000, 0.8253)  3 O 2.03-2.18
Ta (0.2569, 0.5000, 0.1747)  3 O 2.03-2.18
Ta (0.7431, 0.0000, 0.3253)  3 O 2.03-2.18
Ta (0.2569, 0.0000, 0.6747)  3 O 2.03-2.18
Ge (0.8977, 0.5000, 0.6118)  2 Ge 2.70, 5 Ta 2.79-2.82
Ge (0.1023, 0.0000, 0.8882)  2 Ge 2.70, 5 Ta 2.79-2.82
Ge (0.1023, 0.5000, 0.3882)  2 Ge 2.70, 5 Ta 2.79-2.82
Ge (0.8977, 0.0000, 0.1118)  2 Ge 2.70, 5 Ta 2.79-2.82

Computed properties:
- total magnetization (μB per formula unit) = 0.0
- space-group type = C2/m, No. 12
- VASP energy (eV/atom) = -8.32
- formation energy from raw total energies (eV/atom) = -1.174
- polymorph energy (0 for the lowest one) (eV per formula unit) = 0.16

***

Material: SrCa2IrI
Method: DFT, PBE-GGA
State: relaxed

a b c (Å): 5.7684 5.2929 5.7684
angles (deg): 90.00 90.00 90.00
Last column: nearest neighbours and their distance in Å.
Atoms (fractional coordinates):
I (0.0000, 0.0000, 0.0000)  2 Ir 2.65, 4 Ca 2.88
Ir (0.0000, 0.5000, 0.0000)  2 I 2.65
Ca (0.5000, 0.0000, 0.0000)  2 I 2.88
Ca (0.0000, 0.0000, 0.5000)  2 I 2.88
Sr (0.5000, 0.5000, 0.5000)  8 Ca 3.91, 4 Ir 4.08

Computed properties:
- total magnetization (μB per formula unit) = 0.0
- space-group type = P4/mmm, No. 123
- VASP energy (eV/atom) = -2.97
- formation energy from raw total energies (eV/atom) = 0.244
- polymorph energy (0 for the lowest one) (eV per formula unit) = 3.55

***

Material: PrMg4Zn2
Method: DFT, PBE-GGA
State: relaxed

a b c (Å): 4.5273 4.3446 8.3350
angles (deg): 105.11 90.00 90.00
Last column: nearest neighbours and their distance in Å.
Atoms (fractional coordinates):
Pr (0.0000, 0.0000, 0.0000)  8 Zn 3.36, 8 Mg 3.59-3.66
Mg (0.5000, 0.1785, 0.3571)  2 Zn 2.73
Mg (0.5000, 0.8215, 0.6429)  2 Zn 2.73
Mg (0.0000, 0.3222, 0.6445)  2 Zn 2.80
Mg (0.0000, 0.6778, 0.3555)  2 Zn 2.80
Zn (0.5000, 0.4244, 0.8488)  1 Zn 2.43
Zn (0.5000, 0.5756, 0.1512)  1 Zn 2.43

Computed properties:
- total magnetization (μB per formula unit) = 0.0
- space-group type = Cmmm, No. 65
- VASP energy (eV/atom) = -2.13
- formation energy from the elements (eV per atom) = -0.18
- polymorph energy (0 for the lowest one) (eV per formula unit) = 0.00

***

Material: CoRe2Ni
Method: DFT, PBE-GGA
State: relaxed

a b c (Å): 4.5858 4.5858 4.5891
angles (deg): 132.39 132.38 69.56
Last column: nearest neighbours and their distance in Å.
Atoms (fractional coordinates):
Re (0.5000, 0.5000, 0.0000)  4 Re 2.62, 4 Co 2.64, 4 Ni 2.64
Re (0.0000, 0.0000, 0.0000)  4 Re 2.62, 4 Co 2.64, 4 Ni 2.64
Co (0.7500, 0.2500, 0.5000)  4 Ni 2.62, 8 Re 2.64
Ni (0.2500, 0.7500, 0.5000)  4 Co 2.62, 8 Re 2.64

Computed properties:
- total magnetization (μB per formula unit) = 1.6
- space-group type = Fmmm, No. 69
- VASP energy (eV/atom) = -9.37
- formation energy from the elements (eV per atom) = 0.08
- polymorph energy (0 for the lowest one) (eV per formula unit) = 0.51

***

Material: Na3Ce2HoSe6
Method: DFT, PBE-GGA
State: relaxed

a b c (Å): 7.3568 7.3568 7.3940
angles (deg): 99.55 99.55 120.01
Last column: nearest neighbours and their distance in Å.
Atoms (fractional coordinates):
Se (0.0779, 0.4023, 0.2337)  1 Ho 2.89, 2 Ce 2.97, 3 Na 3.05-3.13
Se (0.2468, 0.2468, 0.7675)  1 Ho 2.88, 2 Ce 2.97, 3 Na 3.06-3.13
Se (0.7532, 0.7532, 0.2325)  1 Ho 2.88, 2 Ce 2.97, 3 Na 3.06-3.13
Se (0.4023, 0.0779, 0.2337)  1 Ho 2.89, 2 Ce 2.97, 3 Na 3.05-3.13
Se (0.5977, 0.9221, 0.7663)  1 Ho 2.89, 2 Ce 2.97, 3 Na 3.05-3.13
Se (0.9221, 0.5977, 0.7663)  1 Ho 2.89, 2 Ce 2.97, 3 Na 3.05-3.13
Na (0.8332, 0.1668, 0.5000)  6 Se 3.05-3.13
Na (0.1668, 0.8332, 0.5000)  6 Se 3.05-3.13
Na (0.5000, 0.5000, 0.5000)  6 Se 3.05-3.13
Ce (0.3334, 0.6666, 0.0000)  6 Se 2.97
Ce (0.6666, 0.3334, 0.0000)  6 Se 2.97
Ho (0.0000, 0.0000, 0.0000)  6 Se 2.88-2.89

Computed properties:
- total magnetization (μB per formula unit) = 2.0
- space-group type = C2/m, No. 12
- VASP energy (eV/atom) = -5.09
- formation energy from raw total energies (eV/atom) = -1.643